Entry 1:
Below is an optimized crystal structure of LaCd2Hg8, with properties calculated at the PBE level.

abc: 9.0198 9.0198 4.5593
angles: 99.10 99.10 119.62
Closest atoms and distances in Å follow each position.
Positions (direct):
La: 0.0000 0.0000 0.0000  12 Hg 3.27-3.45
Cd: 0.3314 0.6686 0.5000  6 Hg 2.93-3.06
Cd: 0.6686 0.3314 0.5000  6 Hg 2.93-3.06
Hg: 0.0854 0.3239 0.6219  1 Cd 3.00, 3 Hg 3.10-3.25
Hg: 0.2134 0.7866 0.0000  2 Cd 2.93, 4 Hg 3.21-3.25
Hg: 0.3239 0.0854 0.6219  1 Cd 3.00, 3 Hg 3.10-3.25
Hg: 0.3783 0.3783 0.1660  4 Hg 3.04-3.15, 2 Cd 3.06, 1 La 3.27
Hg: 0.6217 0.6217 0.8340  4 Hg 3.04-3.15, 2 Cd 3.06, 1 La 3.27
Hg: 0.6761 0.9146 0.3781  1 Cd 3.00, 3 Hg 3.10-3.25
Hg: 0.7866 0.2134 0.0000  2 Cd 2.93, 4 Hg 3.21-3.25
Hg: 0.9146 0.6761 0.3781  1 Cd 3.00, 3 Hg 3.10-3.25

Results
ΔH_f (0 K) = -1.110 eV per formula unit
Fermi-level density of states = 4.73 states/eV/f.u.
Density = 10.7 g/cm3
E = -10.28 eV per cell
Polymorph energy (0 for the lowest one) = 2.85 kJ/mol of atoms
M_tot = 0.0 μB per formula unit
Symmetry = C2/m, No. 12

***

Entry 2:
Below is an optimized crystal structure of Tb3Dy5Tm3, with properties calculated at the PBE level.

abc: 11.0322 11.0322 3.4077
angles: 90.00 90.00 120.00
Closest atoms and distances in Å follow each position.
Positions (direct):
Tb: 0.0000 0.3411 0.0000  4 Dy 3.26-3.64, 2 Tm 3.26, 2 Tb 3.41
Tb: 0.3411 0.0000 0.0000  4 Dy 3.26-3.64, 2 Tm 3.26, 2 Tb 3.41
Tb: 0.6589 0.6589 0.0000  4 Dy 3.26-3.64, 2 Tm 3.26, 2 Tb 3.41
Dy: 0.0000 0.8398 0.0000  4 Dy 3.06-3.41, 2 Tm 3.21, 2 Tb 3.26
Dy: 0.1602 0.1602 0.0000  4 Dy 3.06-3.41, 2 Tm 3.21, 2 Tb 3.26
Dy: 0.3333 0.6667 0.0000  2 Dy 3.41, 3 Tb 3.64, 6 Tm 3.76
Dy: 0.6667 0.3333 0.0000  2 Dy 3.41, 3 Tb 3.64, 6 Tm 3.76
Dy: 0.8398 0.0000 0.0000  4 Dy 3.06-3.41, 2 Tm 3.21, 2 Tb 3.26
Tm: 0.0000 0.5934 0.5000  2 Dy 3.21, 2 Tb 3.26, 2 Tm 3.41
Tm: 0.4066 0.4066 0.5000  2 Dy 3.21, 2 Tb 3.26, 2 Tm 3.41
Tm: 0.5934 0.0000 0.5000  2 Dy 3.21, 2 Tb 3.26, 2 Tm 3.41

Results
ΔH_f (0 K) = 3.898 eV per formula unit
Fermi-level density of states = 16.26 states/eV/f.u.
Density = 8.3 g/cm3
E = -46.42 eV per cell
M_tot = 0.0 μB per formula unit
Symmetry = P-62m, No. 189

***

Entry 3:
Below is an optimized crystal structure of TaAgW2, with properties calculated at the PBE level.

abc: 4.9616 4.9616 5.2663
angles: 95.57 95.57 31.80
Closest atoms and distances in Å follow each position.
Positions (direct):
Ta: 0.0000 0.0000 0.0000  2 Ta 2.72, 3 Ag 2.83-2.90, 7 W 2.85-3.00
Ag: 0.2524 0.2524 0.7589  2 Ag 2.72, 3 Ta 2.83-2.90, 7 W 2.91-2.99
W: 0.5074 0.5074 0.4980  5 W 2.72-2.94, 3 Ag 2.91-2.92, 4 Ta 2.95-2.98
W: 0.7539 0.7539 0.2640  5 W 2.72-2.94, 3 Ta 2.85-3.00, 4 Ag 2.94-2.99

Results
ΔH_f (0 K) = 1.835 eV per formula unit
Fermi-level density of states = 3.26 states/eV/f.u.
Density = 16.0 g/cm3
E = -38.78 eV per cell
Polymorph energy (0 for the lowest one) = 22.98 kJ/mol of atoms
M_tot = 0.0 μB per formula unit
Symmetry = Cm, No. 8

***

Entry 4:
Below is an optimized crystal structure of Nd8Ir3RuCl4, with properties calculated at the PBE level.

abc: 8.9470 8.9470 8.9470
angles: 54.65 54.65 54.65
Closest atoms and distances in Å follow each position.
Positions (direct):
Nd: 0.2341 0.2341 0.2341  3 Ir 2.82
Nd: 0.2387 0.7330 0.7330  1 Ru 2.81, 2 Ir 2.85
Nd: 0.2670 0.2670 0.7613  1 Ru 2.81, 2 Ir 2.85
Nd: 0.2670 0.7613 0.2670  1 Ru 2.81, 2 Ir 2.85
Nd: 0.7330 0.2387 0.7330  1 Ru 2.81, 2 Ir 2.85
Nd: 0.7330 0.7330 0.2387  1 Ru 2.81, 2 Ir 2.85
Nd: 0.7613 0.2670 0.2670  1 Ru 2.81, 2 Ir 2.85
Nd: 0.7659 0.7659 0.7659  3 Ir 2.82
Ir: 0.0000 0.0000 0.5000  6 Nd 2.82-2.85
Ir: 0.0000 0.5000 0.0000  6 Nd 2.82-2.85
Ir: 0.5000 0.0000 0.0000  6 Nd 2.82-2.85
Ru: 0.5000 0.5000 0.5000  6 Nd 2.81
Cl: 0.0000 0.0000 0.0000  6 Nd 3.28
Cl: 0.0000 0.5000 0.5000  6 Nd 3.25-3.27
Cl: 0.5000 0.0000 0.5000  6 Nd 3.25-3.27
Cl: 0.5000 0.5000 0.0000  6 Nd 3.25-3.27

Results
Fermi-level density of states = 5.03 states/eV/f.u.
Density = 7.4 g/cm3
E = -99.18 eV per cell
M_tot = 0.0 μB per formula unit
Formation energy (no corrections) = -107.3 kJ per mole of atoms
Symmetry = R-3m, No. 166

***

Entry 5:
Below is an optimized crystal structure of RbBa2Hg, with properties calculated at the PBE level.

abc: 8.6281 8.6281 8.6281
angles: 103.34 103.34 122.58
Closest atoms and distances in Å follow each position.
Positions (direct):
Rb: 0.0000 0.0000 0.0000  2 Hg 4.14, 8 Ba 4.47-4.59
Rb: 0.7500 0.2500 0.5000  2 Hg 4.14, 8 Ba 4.47-4.59
Ba: 0.2100 0.6250 0.0850  2 Hg 3.37
Ba: 0.3750 0.4600 0.5850  2 Hg 3.37
Ba: 0.5400 0.1250 0.9150  2 Hg 3.37
Ba: 0.8750 0.7900 0.4150  2 Hg 3.37
Hg: 0.2500 0.7500 0.5000  4 Ba 3.37
Hg: 0.5000 0.5000 0.0000  4 Ba 3.37

Results
ΔH_f (0 K) = -0.182 eV per formula unit
Fermi-level density of states = 9.82 states/eV/f.u.
Density = 3.9 g/cm3
E = -10.59 eV per cell
M_tot = 0.0 μB per formula unit
Symmetry = I-42d, No. 122

***

Entry 6:
Below is an optimized crystal structure of Sn2BiSb, with properties calculated at the PBE level.

abc: 8.2353 8.2353 8.2353
angles: 30.12 30.12 30.12
Closest atoms and distances in Å follow each position.
Positions (direct):
Sn: 0.0000 0.0000 0.0000  3 Sb 3.10, 3 Bi 3.25
Sn: 0.1761 0.1761 0.1761  3 Sb 3.08, 3 Bi 3.20
Bi: 0.7563 0.7563 0.7563  6 Sn 3.20-3.25
Sb: 0.5872 0.5872 0.5872  6 Sn 3.08-3.10

Results
Fermi-level density of states = 2.27 states/eV/f.u.
Density = 7.6 g/cm3
E = -15.75 eV per cell
Polymorph energy (0 for the lowest one) = 2.39 kJ/mol of atoms
M_tot = 0.0 μB per formula unit
Formation energy (no corrections) = 6.4 kJ per mole of atoms
Symmetry = R3m, No. 160